[1]
First-principles (PBEsol) data for an optimized crystal structure of BaFeO3, as listed in Alexandria.

a b c (Å): 5.6017 5.6017 13.5995
angles (deg): 90.00 90.00 120.00
Space group P6_3/mmc (No. 194)
Symmetry-distinct sites (fractional):
Ba 0.0000 0.0000 0.2500 (multiplicity 2)
Ba 0.3333 0.6667 0.0903 (multiplicity 4)
Fe 0.0000 0.0000 0.0000 (multiplicity 2)
Fe 0.3333 0.6667 0.6561 (multiplicity 4)
O 0.0406 0.5203 0.7500 (multiplicity 6)
O 0.1714 0.3427 0.5826 (multiplicity 12)

Calculated values
E_tot in eV/atom: -7.3745
N(E_F) in states/eV per atom: 0.209

---

[2]
First-principles (PBEsol) data for an optimized crystal structure of LiHS, as listed in Alexandria.

a b c (Å): 6.103 3.866 7.724
angles (deg): 90.00 90.00 90.00
Space group Pmc2_1 (No. 26)
Symmetry-distinct sites (fractional):
Li 0.250 0.000 0.000 (multiplicity 4)
H 0.000 0.387 0.250 (multiplicity 2)
H 0.500 0.497 0.309 (multiplicity 2)
S 0.000 0.035 0.249 (multiplicity 2)
S 0.500 0.499 0.985 (multiplicity 2)

Calculated values
E_tot in eV/atom: -3.9872
N(E_F) in states/eV per atom: 0.000

---

[3]
First-principles (PBEsol) data for an optimized crystal structure of As2Se, as listed in Alexandria.

a b c (Å): 3.399 3.599 21.495
angles (deg): 90.00 90.00 90.00
Space group Imma (No. 74)
Symmetry-distinct sites (fractional):
As 0.000 0.250 0.038 (multiplicity 4)
As 0.000 0.250 0.196 (multiplicity 4)
Se 0.000 0.250 0.652 (multiplicity 4)

Calculated values
Energy relative to the lowest polymorph listed for this composition in meV/atom: 162
N(E_F) in states/eV per atom: 0.406

---

[4]
First-principles (PBEsol) data for an optimized crystal structure of Zn2CuSb, as listed in Alexandria.

a b c (Å): 8.085 3.136 5.458
angles (deg): 90.00 101.32 90.00
Space group Cm (No. 8)
Symmetry-distinct sites (fractional):
Zn 0.000 0.000 0.000 (multiplicity 2)
Zn 0.245 0.500 0.200 (multiplicity 2)
Cu 0.483 0.000 0.379 (multiplicity 2)
Sb 0.231 0.000 0.667 (multiplicity 2)

Calculated values
E_tot in eV/atom: -2.9211
N(E_F) in states/eV per atom: 0.286

---

[5]
First-principles (PBEsol) data for an optimized crystal structure of SrLiZr2, as listed in Alexandria.

a b c (Å): 7.309 7.309 7.309
angles (deg): 90.00 90.00 90.00
Space group Fm-3m (No. 225)
Symmetry-distinct sites (fractional):
Sr 0.000 0.000 0.000 (multiplicity 4)
Li 0.000 0.000 0.500 (multiplicity 4)
Zr 0.250 0.250 0.250 (multiplicity 8)

Calculated values
Energy relative to the lowest polymorph listed for this composition in meV/atom: 297
N(E_F) in states/eV per atom: 1.357
Energy of formation in eV/atom: 0.805

---

[6]
First-principles (PBEsol) data for an optimized crystal structure of ZrScSe2, as listed in Alexandria.

a b c (Å): 3.542 3.569 12.418
angles (deg): 90.00 90.00 90.00
Space group Imm2 (No. 44)
Symmetry-distinct sites (fractional):
Zr 0.000 0.000 0.000 (multiplicity 2)
Sc 0.000 0.500 0.744 (multiplicity 2)
Se 0.000 0.000 0.411 (multiplicity 2)
Se 0.000 0.500 0.163 (multiplicity 2)

Calculated values
Energy relative to the lowest polymorph listed for this composition in meV/atom: 0
N(E_F) in states/eV per atom: 0.885

---

| no. | ρ (g/cm3) |
| --- | --- |
| 1 | 6.50 |
| 2 | 1.46 |
| 3 | 5.78 |
| 4 | 7.74 |
| 5 | 4.71 |
| 6 | 6.22 |